DFT (PBE) results for an optimized crystal structure of Zn2CuNi2.

a = 6.855 Å, b = 6.855 Å, c = 2.711 Å
α = 90.00°, β = 90.00°, γ = 90.00°
Element x y z (fractional)
1 Ni 0.842 0.342 0.500
2 Ni 0.158 0.658 0.500
3 Cu 0.000 0.000 0.000
4 Ni 0.658 0.842 0.500
5 Cu 0.500 0.500 0.000
6 Zn 0.640 0.140 0.000
7 Zn 0.860 0.640 0.000
8 Zn 0.360 0.860 0.000
9 Ni 0.342 0.158 0.500
10 Zn 0.140 0.360 0.000

## Properties
**Electronic total energy**: -36.7 eV for the cell shown
**Formation energy from the elements**: -0.027 eV per atom